{
  "formula": "PmPr2Y9",
  "functional": "PBE-GGA",
  "state": "relaxed",
  "e_tot_ev_per_cell": -72.219,
  "volume_a3_per_cell": 396.4,
  "spacegroup": "P4/mmm, No. 123",
  "ef_mev_per_atom": 22,
  "lattice_angstrom": [[-2.622, 2.795, 3.355], [-4.029, -0.039, -3.116], [-5.051, -12.772, 6.692]],
  "species": ["Pr", "Pr", "Y", "Y", "Y", "Y", "Y", "Y", "Y", "Y", "Y", "Pm"],
  "fractional_positions": [[0.000, 0.000, 0.333], [0.000, 0.000, 0.667], [0.000, 0.500, 0.834], [0.500, 0.500, 0.667], [0.500, 0.000, 0.834], [0.500, 0.000, 0.166], [0.500, 0.500, 0.000], [0.500, 0.000, 0.500], [0.500, 0.500, 0.333], [0.000, 0.500, 0.500], [0.000, 0.500, 0.166], [0.000, 0.000, 0.000]]
}